Material: Nd3Cd4Pb2
Method: DFT, PBE
State: optimized geometry

a b c (Å): 6.393 6.393 9.438
angles (deg): 111.35 111.35 45.05
Atoms (fractional coordinates):
1 Nd 0.000 0.000 0.000
2 Nd 0.323 0.323 0.345
3 Nd 0.677 0.677 0.655
4 Cd 0.007 0.007 0.353
5 Cd 0.249 0.249 0.927
6 Cd 0.751 0.751 0.073
7 Cd 0.993 0.993 0.647
8 Pb 0.385 0.385 0.721
9 Pb 0.615 0.615 0.279

Computed properties:
For the total magnetization, the calculation gives 0.000 μB/cell.

=====

Material: NdCd4Pb
Method: DFT, PBE
State: optimized geometry

a b c (Å): 9.589 9.589 5.139
angles (deg): 90.00 90.00 139.48
Atoms (fractional coordinates):
1 Nd 0.121 0.879 0.750
2 Nd 0.879 0.121 0.250
3 Cd 0.036 0.455 0.750
4 Cd 0.199 0.285 0.750
5 Cd 0.285 0.199 0.250
6 Cd 0.455 0.036 0.250
7 Cd 0.545 0.964 0.750
8 Cd 0.715 0.801 0.750
9 Cd 0.801 0.715 0.250
10 Cd 0.964 0.545 0.250
11 Pb 0.379 0.621 0.250
12 Pb 0.621 0.379 0.750

Computed properties:
Its energy relative to the lowest polymorph listed for this composition is 0 meV per atom. For the total magnetization, the calculation gives 0.000 μB/cell.

=====

Material: NdCd6Pb
Method: DFT, PBE
State: optimized geometry

a b c (Å): 4.921 6.553 6.553
angles (deg): 72.31 90.00 90.00
Atoms (fractional coordinates):
1 Nd 0.000 0.000 0.000
2 Cd 0.000 0.082 0.483
3 Cd 0.000 0.483 0.082
4 Cd 0.000 0.553 0.553
5 Cd 0.500 0.198 0.198
6 Cd 0.500 0.281 0.693
7 Cd 0.500 0.693 0.281
8 Pb 0.500 0.768 0.768

Computed properties:
For the total magnetization, the calculation gives 0.000 μB/cell.

=====

Material: Pm2NdCd2Pb2
Method: DFT, PBE
State: optimized geometry

a b c (Å): 9.497 9.497 9.497
angles (deg): 31.34 31.34 31.34
Atoms (fractional coordinates):
1 Pm 0.133 0.133 0.133
2 Pm 0.867 0.867 0.867
3 Nd 0.000 0.000 0.000
4 Cd 0.428 0.428 0.428
5 Cd 0.572 0.572 0.572
6 Pb 0.271 0.271 0.271
7 Pb 0.729 0.729 0.729

Computed properties:
For the total magnetization, the calculation gives 0.002 μB/cell.

=====

Material: PrNdCdPb
Method: DFT, PBE
State: optimized geometry

a b c (Å): 5.516 5.516 5.516
angles (deg): 60.00 60.00 60.00
Atoms (fractional coordinates):
1 Pr 0.000 0.000 0.000
2 Nd 0.500 0.500 0.500
3 Cd 0.750 0.750 0.750
4 Pb 0.250 0.250 0.250

Computed properties:
For the total magnetization, the calculation gives 0.000 μB/cell.

=====

Material: Pr2NdCd2Pb2
Method: DFT, PBE
State: optimized geometry

a b c (Å): 9.660 9.660 9.660
angles (deg): 30.81 30.81 30.81
Atoms (fractional coordinates):
1 Pr 0.133 0.133 0.133
2 Pr 0.867 0.867 0.867
3 Nd 0.000 0.000 0.000
4 Cd 0.424 0.424 0.424
5 Cd 0.576 0.576 0.576
6 Pb 0.272 0.272 0.272
7 Pb 0.728 0.728 0.728

Computed properties:
For the total magnetization, the calculation gives 0.000 μB/cell.

=====

Material: NdCdPtPb
Method: DFT, PBE
State: optimized geometry

a b c (Å): 5.123 5.123 5.123
angles (deg): 60.00 60.00 60.00
Atoms (fractional coordinates):
1 Nd 0.000 0.000 0.000
2 Cd 0.750 0.750 0.750
3 Pt 0.250 0.250 0.250
4 Pb 0.500 0.500 0.500

Computed properties:
For the total magnetization, the calculation gives 0.000 μB/cell.

=====

Material: NdCdRhPb
Method: DFT, PBE
State: optimized geometry

a b c (Å): 5.072 5.072 5.072
angles (deg): 60.00 60.00 60.00
Atoms (fractional coordinates):
1 Nd 0.000 0.000 0.000
2 Cd 0.750 0.750 0.750
3 Rh 0.250 0.250 0.250
4 Pb 0.500 0.500 0.500

Computed properties:
For the total magnetization, the calculation gives 0.000 μB/cell.

=====

no.,energy relative to the elements (eV per atom)
1,-0.395
2,-0.235
3,-0.136
4,-0.223
5,-0.440
6,-0.231
7,-0.476
8,-0.273